A plane-wave DFT calculation with SCAN was carried out for a crystal of BaNb4O6 relaxed with PBEsol.

It has space group P4/mmm (No. 123), with a = 4.198 Å, b = 4.198 Å, c = 8.212 Å, α = 90.00°, β = 90.00° and γ = 90.00°. Symmetry generates all atoms from Ba at (0.000, 0.000, 0.000), Nb at (0.000, 0.500, 0.500), Nb at (0.500, 0.500, 0.253), O at (0.000, 0.000, 0.500), O at (0.000, 0.500, 0.242) and O at (0.500, 0.500, 0.000).

Its crystal system is tetragonal. The uncorrected formation energy is -2.578 eV per atom. The value obtained for the calculated volume is 144.7 Å³ per cell. For the total magnetization, the calculation gives 0.000 μB/cell. As for the density of states at the Fermi level: 1.9 states/eV per cell.